No. 1
First-principles (PBE-GGA) data for a relaxed structure of Tm3NiSn, as listed in the Alexandria database.

```
Tm3NiSn
1.0
4.591 0.000 0.000
0.000 4.588 0.000
-0.011 0.000 11.672
Tm Ni Sn
6 2 2
direct
0.249 0.250 0.110
0.250 0.750 0.358
0.250 0.750 0.642
0.750 0.250 0.358
0.750 0.250 0.642
0.751 0.750 0.890
0.250 0.250 0.492
0.750 0.750 0.508
0.251 0.250 0.844
0.749 0.750 0.156
```

Electronic total energy, eV/atom: -5.17

=====

No. 2
First-principles (PBE-GGA) data for a relaxed structure of HfSnHg3, as listed in the Alexandria database.

```
HfSnHg3
1.0
5.486 0.000 0.000
0.000 5.486 0.000
0.000 0.000 5.486
Hf Sn Hg
1 1 3
direct
0.000 0.000 0.000
0.500 0.500 0.500
0.000 0.000 0.500
0.000 0.500 0.000
0.500 0.000 0.000
```

Electronic total energy, eV/atom: -2.35

=====

No. 3
First-principles (PBE-GGA) data for a relaxed structure of AcGdEr2, as listed in the Alexandria database.

```
AcGdEr2
1.0
0.000 4.108 4.108
4.108 0.000 4.108
4.108 4.108 0.000
Ac Gd Er
1 1 2
direct
0.000 0.000 0.000
0.500 0.500 0.500
0.250 0.250 0.250
0.750 0.750 0.750
```

Electronic total energy, eV/atom: -6.72